Computed, not measured: a relaxed structure of CsCu2OsF8 at the PBE level of DFT.

Values from the calculation:
**Space group**: R-3m, No. 166
**Uncorrected formation energy**: -19.88 eV per formula unit

```
CsCu2OsF8
1.0
2.803 1.618 8.520
-2.803 1.618 8.520
0.000 -3.237 8.520
Cs Cu Os F
1 2 1 8
Cartesian
0.000 0.000 0.000
0.000 0.000 6.646
0.000 0.000 18.914
0.000 0.000 12.780
-1.368 -0.790 11.636
0.000 0.000 8.483
0.000 -1.579 13.925
-1.368 0.790 13.925
1.368 -0.790 11.636
0.000 1.579 11.636
0.000 0.000 17.078
1.368 0.790 13.925
```